9
Lattice="-0.037 3.383 0.551 3.487 -1.342 8.476 9.174 -0.106 1.272" Properties=species:S:1:pos:R:3 comment="La2PrMg6 | Alexandria via LeMat-Bulk | PBE | optimized geometry" e_form_ev_per_fu=-1.0 e_tot_ev_per_atom=-2.795 pbc="T T T"
Pr 0.000 0.000 0.000
Mg 11.485 0.685 7.208
Mg 1.139 1.251 3.091
Mg 7.266 1.175 3.941
Mg 5.358 0.760 6.358
Mg 9.596 0.274 9.600
Mg 3.028 1.661 0.699
La 8.404 2.418 7.050
La 4.220 -0.482 3.249